The following is a DFT calculation (PBEsol) of a relaxed Ba3ZnNi crystal.

The formation energy comes out at 0.614 eV per atom. For the magnetization, the calculation gives 0.07 Bohr magnetons per cell. As for the space group: Pm-3m (221).

abc: 6.082 6.082 6.082
angles: 90.00 90.00 90.00
Atoms (fractional coordinates):
Ba: 0.000 0.000 0.500
Ba: 0.000 0.500 0.000
Ba: 0.500 0.000 0.000
Zn: 0.000 0.000 0.000
Ni: 0.500 0.500 0.500